[1]
The following is a DFT calculation (PBE-GGA) of an optimized crystal structure of Sm6Zn3Cd.

Geometry as POSCAR:
```
Sm6Zn3Cd
1.0
9.347 0.000 0.000
0.000 5.184 0.000
-3.355 0.000 10.955
Sm Zn Cd
12 6 2
Direct
0.039 0.250 0.408 Sm
0.149 0.750 0.183 Sm
0.226 0.250 0.993 Sm
0.323 0.750 0.797 Sm
0.376 0.250 0.344 Sm
0.394 0.250 0.623 Sm
0.606 0.750 0.377 Sm
0.624 0.750 0.656 Sm
0.677 0.250 0.203 Sm
0.774 0.750 0.007 Sm
0.851 0.250 0.817 Sm
0.961 0.750 0.592 Sm
0.033 0.750 0.881 Zn
0.118 0.250 0.713 Zn
0.275 0.750 0.477 Zn
0.725 0.250 0.523 Zn
0.882 0.750 0.287 Zn
0.967 0.250 0.119 Zn
0.454 0.750 0.092 Cd
0.546 0.250 0.908 Cd
```

crystal system: monoclinic

=====

[2]
The following is a DFT calculation (PBE-GGA) of an optimized crystal structure of FeRhAu.

Geometry as POSCAR:
```
FeRhAu
1.0
2.790 0.000 0.000
-1.395 2.416 0.000
0.000 0.000 6.682
Fe Rh Au
1 1 1
Direct
0.000 0.000 0.000 Fe
0.667 0.333 0.300 Rh
0.333 0.667 0.664 Au
```

crystal system: trigonal
energy relative to the lowest polymorph listed for this composition: 0.192 eV per formula unit

=====

[3]
The following is a DFT calculation (PBE-GGA) of an optimized crystal structure of Ba2MnAu.

Geometry as POSCAR:
```
Ba2MnAu
1.0
4.763 0.000 0.000
0.000 4.794 0.000
0.000 0.000 6.848
Ba Mn Au
2 1 1
Direct
0.000 0.000 0.000 Ba
0.500 0.500 0.499 Ba
0.500 0.500 0.999 Mn
0.000 0.000 0.500 Au
```

crystal system: orthorhombic
energy relative to the lowest polymorph listed for this composition: 0.919 eV per formula unit

=====

no.,total DFT energy (no corrections) (eV/atom),V (Å³/cell)
1,-3.51,530.8
2,-6.27,45.0
3,-3.92,156.3